NaCr3Sb: optimized geometry, GGA-PBE.

Results
- DOS(E_F): 2.3 states/eV per cell
- ΔE_f (raw): 1.638 eV per atom
- V: 121.50 Å³/f.u.

Cell and atoms, written as CIF:
```
data_NaCr3Sb
_chemical_formula_sum 'Na1 Cr3 Sb1'
_space_group_name_H-M_alt 'P 1'
_space_group_IT_number 1
_space_group_name_Hall 'P 1'
_cell_length_a 4.9530
_cell_length_b 4.9530
_cell_length_c 4.9530
_cell_angle_alpha 90.00
_cell_angle_beta 90.00
_cell_angle_gamma 90.00
loop_
_atom_site_label
_atom_site_type_symbol
_atom_site_fract_x
_atom_site_fract_y
_atom_site_fract_z
_atom_site_occupancy
Sb1 Sb 0.5000 0.5000 0.5000 1
Na1 Na 0.0000 0.0000 0.0000 1
Cr1 Cr 0.0000 0.5000 0.0000 1
Cr2 Cr 0.0000 0.0000 0.5000 1
Cr3 Cr 0.5000 0.0000 0.0000 1
```